{"formula": "MgFe2SbO6", "functional": "PBE+U", "state": "optimized geometry", "lattice": [[5.269, 0.000, 0.000], [2.627, 4.569, 0.000], [0.001, 3.010, 4.667]], "species": ["Mg", "Fe", "Fe", "Sb", "O", "O", "O", "O", "O", "O"], "frac_coords": [[0.000, 0.000, 0.000], [0.291, 0.418, 0.872], [0.787, 0.430, 0.356], [0.495, 0.008, 0.487], [0.115, 0.498, 0.197], [0.225, 0.886, 0.696], [0.386, 0.926, 0.190], [0.585, 0.195, 0.693], [0.690, 0.195, 0.194], [0.887, 0.529, 0.692]], "total_magnetization_mub_per_fu": 9.00, "energy_ev_per_atom": -6.385}